# 1
# MgBe3As3

A relaxed structure of MgBe3As3 (PBE-GGA, Alexandria via LeMat-Bulk).

Cell lengths 7.612, 7.612, 7.612 Å; angles 49.56, 49.56, 49.56 degrees
Sites, in units of the cell vectors:
Mg 0.165 0.165 0.165
Mg 0.835 0.835 0.835
Be 0.034 0.364 0.704
Be 0.296 0.966 0.636
Be 0.364 0.704 0.034
Be 0.636 0.296 0.966
Be 0.704 0.034 0.364
Be 0.966 0.636 0.296
As 0.081 0.740 0.416
As 0.260 0.584 0.919
As 0.416 0.081 0.740
As 0.584 0.919 0.260
As 0.740 0.416 0.081
As 0.919 0.260 0.584

As for the density of states at the Fermi level: 2.642 states/eV/cell. As for the total magnetization: 0.0 μB/cell. As for the space group: R-3, No. 148.



# 2
# MgBe3As

A relaxed structure of MgBe3As (PBE-GGA, Alexandria via LeMat-Bulk).

Cell lengths 4.444, 4.444, 4.444 Å; angles 90.00, 90.00, 90.00 degrees
Sites, in units of the cell vectors:
Mg 0.000 0.000 0.000
Be 0.000 0.000 0.500
Be 0.000 0.500 0.000
Be 0.500 0.000 0.000
As 0.500 0.500 0.500

As for the density of states at the Fermi level: 2.610 states/eV/cell. The excess energy over the best structure of this formula in the dataset is 733.0 meV per atom. As for the total magnetization: 0.0 μB/cell. As for the space group: Pm-3m, No. 221.



# 3
# MgBeAs2

A relaxed structure of MgBeAs2 (PBE-GGA, Alexandria via LeMat-Bulk).

Cell lengths 2.997, 3.995, 6.725 Å; angles 90.00, 100.90, 90.00 degrees
Sites, in units of the cell vectors:
Mg 0.000 0.000 0.000
Be 0.343 0.500 0.790
As 0.180 0.000 0.614
As 0.588 0.500 0.147

As for the density of states at the Fermi level: 1.517 states/eV/cell. The excess energy over the best structure of this formula in the dataset is 144.0 meV per atom. As for the total magnetization: 0.0 μB/cell. As for the space group: Pm, No. 6.



# 4
# MgBeAs2

A relaxed structure of MgBeAs2 (PBE-GGA, Alexandria via LeMat-Bulk).

Cell lengths 3.219, 3.219, 7.196 Å; angles 90.00, 90.00, 111.06 degrees
Sites, in units of the cell vectors:
Mg 0.000 0.000 0.000
Be 0.000 0.000 0.500
As 0.500 0.500 0.287
As 0.500 0.500 0.713

As for the density of states at the Fermi level: 1.857 states/eV/cell. The excess energy over the best structure of this formula in the dataset is 296.7 meV per atom. As for the total magnetization: 0.0 μB/cell. As for the space group: Cmmm, No. 65.



# 5
# MgBe2As

A relaxed structure of MgBe2As (PBE-GGA, Alexandria via LeMat-Bulk).

Cell lengths 4.349, 4.349, 4.349 Å; angles 60.00, 60.00, 60.00 degrees
Sites, in units of the cell vectors:
Mg 0.000 0.000 0.000
Be 0.250 0.250 0.250
Be 0.500 0.500 0.500
As 0.750 0.750 0.750

As for the density of states at the Fermi level: 3.156 states/eV/cell. The excess energy over the best structure of this formula in the dataset is 442.5 meV per atom. As for the total magnetization: 0.0 μB/cell. As for the space group: F-43m, No. 216.



# 6
# MgBe2As

A relaxed structure of MgBe2As (PBE-GGA, Alexandria via LeMat-Bulk).

Cell lengths 3.786, 3.786, 3.906 Å; angles 90.00, 90.00, 90.00 degrees
Sites, in units of the cell vectors:
Mg 0.000 0.000 0.000
Be 0.000 0.500 0.500
Be 0.500 0.000 0.500
As 0.500 0.500 0.000

As for the density of states at the Fermi level: 2.122 states/eV/cell. The excess energy over the best structure of this formula in the dataset is 229.3 meV per atom. As for the total magnetization: 0.0 μB/cell. As for the space group: P4/mmm, No. 123.



# 7
# MgBeAs2

A relaxed structure of MgBeAs2 (PBE-GGA, Alexandria via LeMat-Bulk).

Cell lengths 6.385, 6.385, 6.385 Å; angles 124.18, 124.18, 82.90 degrees
Sites, in units of the cell vectors:
Mg 0.000 0.000 0.000
Mg 0.750 0.250 0.500
Be 0.250 0.750 0.500
Be 0.500 0.500 0.000
As 0.186 0.625 0.061
As 0.375 0.436 0.561
As 0.564 0.125 0.939
As 0.875 0.814 0.439

As for the density of states at the Fermi level: 3.075 states/eV/cell. The excess energy over the best structure of this formula in the dataset is 156.7 meV per atom. As for the total magnetization: 0.0 μB/cell. As for the space group: I-42d, No. 122.



# 8
# MgBe2As

A relaxed structure of MgBe2As (PBE-GGA, Alexandria via LeMat-Bulk).

Cell lengths 4.356, 4.356, 4.356 Å; angles 60.00, 60.00, 60.00 degrees
Sites, in units of the cell vectors:
Mg 0.000 0.000 0.000
Be 0.250 0.250 0.250
Be 0.750 0.750 0.750
As 0.500 0.500 0.500

As for the density of states at the Fermi level: 2.862 states/eV/cell. The excess energy over the best structure of this formula in the dataset is 423.4 meV per atom. As for the total magnetization: 0.0 μB/cell. As for the space group: Fm-3m, No. 225.



# 9
# MgBeAs2

A relaxed structure of MgBeAs2 (PBE-GGA, Alexandria via LeMat-Bulk).

Cell lengths 4.583, 4.583, 4.583 Å; angles 60.00, 60.00, 60.00 degrees
Sites, in units of the cell vectors:
Mg 0.000 0.000 0.000
Be 0.500 0.500 0.500
As 0.250 0.250 0.250
As 0.750 0.750 0.750

As for the density of states at the Fermi level: 1.783 states/eV/cell. The excess energy over the best structure of this formula in the dataset is 417.1 meV per atom. As for the total magnetization: 0.0 μB/cell. As for the space group: Fm-3m, No. 225.



# 10
# MgBe2As

A relaxed structure of MgBe2As (PBE-GGA, Alexandria via LeMat-Bulk).

Cell lengths 3.871, 3.650, 4.535 Å; angles 90.00, 90.08, 90.00 degrees
Sites, in units of the cell vectors:
Mg 0.000 0.000 0.000
Be 0.500 0.500 0.226
Be 0.500 0.500 0.774
As 0.500 0.000 0.500

As for the density of states at the Fermi level: 0.803 states/eV/cell. The excess energy over the best structure of this formula in the dataset is 0.0 meV per atom. As for the total magnetization: 0.0 μB/cell. As for the space group: P2/m, No. 10.



# 11
# MgBe2As

A relaxed structure of MgBe2As (PBE-GGA, Alexandria via LeMat-Bulk).

Cell lengths 4.024, 4.024, 4.922 Å; angles 100.49, 100.49, 52.15 degrees
Sites, in units of the cell vectors:
Mg 0.000 0.000 0.000
Be 0.466 0.466 0.391
Be 0.756 0.756 0.350
As 0.235 0.235 0.624

As for the density of states at the Fermi level: 1.196 states/eV/cell. The excess energy over the best structure of this formula in the dataset is 19.5 meV per atom. As for the total magnetization: 0.0 μB/cell. As for the space group: Cm, No. 8.



# 12
# MgBe2As

A relaxed structure of MgBe2As (PBE-GGA, Alexandria via LeMat-Bulk).

Cell lengths 4.848, 4.848, 4.848 Å; angles 135.23, 135.23, 65.17 degrees
Sites, in units of the cell vectors:
Mg 0.000 0.000 0.000
Be 0.500 0.500 0.000
Be 0.750 0.250 0.500
As 0.250 0.750 0.500

As for the density of states at the Fermi level: 1.375 states/eV/cell. The excess energy over the best structure of this formula in the dataset is 240.0 meV per atom. As for the total magnetization: 0.0 μB/cell. As for the space group: I-4m2, No. 119.



# 13
# MgBeAs2

A relaxed structure of MgBeAs2 (PBE-GGA, Alexandria via LeMat-Bulk).

Cell lengths 3.310, 3.310, 7.400 Å; angles 90.00, 90.00, 90.15 degrees
Sites, in units of the cell vectors:
Mg 0.000 0.000 0.000
Be 0.500 0.500 0.790
As 0.000 0.000 0.647
As 0.500 0.500 0.168

As for the density of states at the Fermi level: 1.113 states/eV/cell. The excess energy over the best structure of this formula in the dataset is 273.4 meV per atom. As for the total magnetization: 0.0 μB/cell. As for the space group: Cmm2, No. 35.



# 14
# MgBeAs2

A relaxed structure of MgBeAs2 (PBE-GGA, Alexandria via LeMat-Bulk).

Cell lengths 6.399, 6.399, 6.399 Å; angles 149.01, 148.08, 45.08 degrees
Sites, in units of the cell vectors:
Mg 0.000 0.000 0.000
Be 0.758 0.258 0.500
As 0.319 0.819 0.500
As 0.621 0.621 0.000

As for the density of states at the Fermi level: 1.376 states/eV/cell. The excess energy over the best structure of this formula in the dataset is 195.8 meV per atom. As for the total magnetization: 0.0 μB/cell. As for the space group: Imm2, No. 44.



Asked for calculated formation energy across the records above, the calculation gives -238, 1548, -12, 141, 537, 324, 1, 518, 261, 95, 114, 335, 118, 40 meV per atom in order.
Asked for total energy across the records above, the calculation gives -4.056, -1.936, -3.667, -3.514, -2.887, -3.100, -3.654, -2.906, -3.394, -3.329, -3.310, -3.089, -3.537, -3.615 eV/atom in order.